A plane-wave DFT calculation with PBE-GGA was carried out for an optimized crystal structure of Cs3TaTe6Pb2.

Uncorrected formation energy = -0.631 eV/atom

Cell and atoms, written as CIF:
```
data_Cs3TaTe6Pb2
_cell_length_a 8.042
_cell_length_b 13.864
_cell_length_c 9.070
_cell_angle_alpha 90.00
_cell_angle_beta 107.08
_cell_angle_gamma 90.00
_space_group_name_H-M_alt 'C 1 2/m 1'
_space_group_IT_number 12
loop_
_space_group_symop_operation_xyz
'x,y,z'
'-x,-y,-z'
'-x,y,-z'
'x,-y,z'
'x+1/2,y+1/2,z'
'-x+1/2,-y+1/2,-z'
'-x+1/2,y+1/2,-z'
'x+1/2,-y+1/2,z'
loop_
_atom_site_label
_atom_site_type_symbol
_atom_site_fract_x
_atom_site_fract_y
_atom_site_fract_z
Cs1 Cs 0.000 0.000 0.000
Cs2 Cs 0.000 0.322 0.000
Ta1 Ta 0.000 0.500 0.500
Te1 Te 0.208 0.353 0.683
Te2 Te 0.229 0.500 0.312
Pb1 Pb 0.000 0.165 0.500
```

---

A plane-wave DFT calculation with PBE-GGA was carried out for an optimized crystal structure of CsTbPb2.

Energy above the lowest structure with this stoichiometry = 0.181 eV per atom

Cell and atoms, written as CIF:
```
data_CsTbPb2
_cell_length_a 3.8454
_cell_length_b 3.8454
_cell_length_c 34.2050
_cell_angle_alpha 90.00
_cell_angle_beta 90.00
_cell_angle_gamma 120.00
_space_group_name_H-M_alt 'R -3 m'
_space_group_IT_number 166
_space_group_name_Hall '-R 3 2"'
loop_
_atom_site_label
_atom_site_type_symbol
_atom_site_fract_x
_atom_site_fract_y
_atom_site_fract_z
Cs1 Cs 0.0000 0.0000 0.0000
Tb1 Tb 0.0000 0.0000 0.5000
Pb1 Pb 0.0000 0.0000 0.2395
```

---

A plane-wave DFT calculation with PBE-GGA was carried out for an optimized crystal structure of CsTbPb2.

Energy above the lowest structure with this stoichiometry = 0.000 eV per atom

Cell and atoms, written as CIF:
```
data_CsTbPb2
_cell_length_a 4.179
_cell_length_b 4.179
_cell_length_c 8.641
_cell_angle_alpha 90.00
_cell_angle_beta 90.00
_cell_angle_gamma 90.00
_space_group_name_H-M_alt 'P 4/m m m'
_space_group_IT_number 123
_space_group_name_Hall '-P 4 2'
loop_
_atom_site_label
_atom_site_type_symbol
_atom_site_fract_x
_atom_site_fract_y
_atom_site_fract_z
Cs1 Cs 0.000 0.000 0.000
Tb1 Tb 0.000 0.000 0.500
Pb1 Pb 0.500 0.500 0.321
```

---

A plane-wave DFT calculation with PBE-GGA was carried out for an optimized crystal structure of CsTbTe3Pb.

Uncorrected formation energy = -1.025 eV/atom

Cell and atoms, written as CIF:
```
data_CsTbTe3Pb
_cell_length_a 9.938
_cell_length_b 4.523
_cell_length_c 12.282
_cell_angle_alpha 90.00
_cell_angle_beta 109.52
_cell_angle_gamma 90.00
_space_group_name_H-M_alt 'P 1 21/m 1'
_space_group_IT_number 11
loop_
_space_group_symop_operation_xyz
'x,y,z'
'-x,-y,-z'
'-x,y+1/2,-z'
'x,-y+1/2,z'
loop_
_atom_site_label
_atom_site_type_symbol
_atom_site_fract_x
_atom_site_fract_y
_atom_site_fract_z
Cs1 Cs 0.221 0.250 0.264
Tb1 Tb 0.366 0.750 0.850
Te1 Te 0.132 0.250 0.806
Te2 Te 0.350 0.750 0.587
Te3 Te 0.409 0.750 0.109
Pb1 Pb 0.138 0.250 0.567
```

---

A plane-wave DFT calculation with PBE-GGA was carried out for an optimized crystal structure of CsTb2Te6Pb3.

Uncorrected formation energy = -0.789 eV/atom

Cell and atoms, written as CIF:
```
data_CsTb2Te6Pb3
_cell_length_a 19.929
_cell_length_b 4.468
_cell_length_c 10.134
_cell_angle_alpha 90.00
_cell_angle_beta 98.68
_cell_angle_gamma 90.00
_space_group_name_H-M_alt 'C 1 2/m 1'
_space_group_IT_number 12
loop_
_space_group_symop_operation_xyz
'x,y,z'
'-x,-y,-z'
'-x,y,-z'
'x,-y,z'
'x+1/2,y+1/2,z'
'-x+1/2,-y+1/2,-z'
'-x+1/2,y+1/2,-z'
'x+1/2,-y+1/2,z'
loop_
_atom_site_label
_atom_site_type_symbol
_atom_site_fract_x
_atom_site_fract_y
_atom_site_fract_z
Cs1 Cs 0.000 0.000 0.000
Tb1 Tb 0.173 0.500 0.336
Te1 Te 0.020 0.500 0.286
Te2 Te 0.168 0.000 0.561
Te3 Te 0.186 0.000 0.126
Pb1 Pb 0.000 0.000 0.500
Pb2 Pb 0.159 0.500 0.817
```

---

A plane-wave DFT calculation with PBE-GGA was carried out for an optimized crystal structure of CsTc3Pb.

Calculated total energy = -4.87 eV/atom

Cell and atoms, written as CIF:
```
data_CsTc3Pb
_cell_length_a 5.307
_cell_length_b 5.307
_cell_length_c 5.307
_cell_angle_alpha 90.00
_cell_angle_beta 90.00
_cell_angle_gamma 90.00
_space_group_name_H-M_alt 'P m -3 m'
_space_group_IT_number 221
_space_group_name_Hall '-P 4 2 3'
loop_
_atom_site_label
_atom_site_type_symbol
_atom_site_fract_x
_atom_site_fract_y
_atom_site_fract_z
Cs1 Cs 0.000 0.000 0.000
Tc1 Tc 0.000 0.500 0.500
Pb1 Pb 0.500 0.500 0.500
```

---

A plane-wave DFT calculation with PBE-GGA was carried out for an optimized crystal structure of Cs2TcPb.

Calculated total energy = -2.58 eV/atom

Cell and atoms, written as CIF:
```
data_Cs2TcPb
_cell_length_a 8.413
_cell_length_b 8.413
_cell_length_c 8.413
_cell_angle_alpha 90.00
_cell_angle_beta 90.00
_cell_angle_gamma 90.00
_space_group_name_H-M_alt 'F m -3 m'
_space_group_IT_number 225
_space_group_name_Hall '-F 4 2 3'
loop_
_atom_site_label
_atom_site_type_symbol
_atom_site_fract_x
_atom_site_fract_y
_atom_site_fract_z
Cs1 Cs 0.250 0.250 0.250
Tc1 Tc 0.000 0.000 0.000
Pb1 Pb 0.000 0.000 0.500
```

---

A plane-wave DFT calculation with PBE-GGA was carried out for an optimized crystal structure of CsTe3Pb.

Energy above the lowest structure with this stoichiometry = 0.000 eV per atom
Uncorrected formation energy = -0.147 eV/atom

Cell and atoms, written as CIF:
```
data_CsTe3Pb
_cell_length_a 6.042
_cell_length_b 6.042
_cell_length_c 6.042
_cell_angle_alpha 90.00
_cell_angle_beta 90.00
_cell_angle_gamma 90.00
_space_group_name_H-M_alt 'P m -3 m'
_space_group_IT_number 221
_space_group_name_Hall '-P 4 2 3'
loop_
_atom_site_label
_atom_site_type_symbol
_atom_site_fract_x
_atom_site_fract_y
_atom_site_fract_z
Cs1 Cs 0.000 0.000 0.000
Te1 Te 0.000 0.500 0.500
Pb1 Pb 0.500 0.500 0.500
```

---

A plane-wave DFT calculation with PBE-GGA was carried out for an optimized crystal structure of CsTePb.

Energy above the lowest structure with this stoichiometry = 0.021 eV per atom
Uncorrected formation energy = -0.585 eV/atom

Cell and atoms, written as CIF:
```
data_CsTePb
_cell_length_a 6.033
_cell_length_b 6.810
_cell_length_c 8.050
_cell_angle_alpha 85.15
_cell_angle_beta 68.28
_cell_angle_gamma 64.02
_space_group_name_H-M_alt 'P 1'
_space_group_IT_number 1
loop_
_space_group_symop_operation_xyz
'x,y,z'
loop_
_atom_site_label
_atom_site_type_symbol
_atom_site_fract_x
_atom_site_fract_y
_atom_site_fract_z
Cs1 Cs 0.000 0.000 0.000
Cs2 Cs 0.471 0.764 0.299
Te1 Te 0.229 0.381 0.150
Te2 Te 0.786 0.886 0.645
Pb1 Pb 0.357 0.360 0.736
Pb2 Pb 0.919 0.405 0.564
```

---

A plane-wave DFT calculation with PBE-GGA was carried out for an optimized crystal structure of Cs2TePb.

Energy above the lowest structure with this stoichiometry = 0.000 eV per atom
Uncorrected formation energy = -0.307 eV/atom

Cell and atoms, written as CIF:
```
data_Cs2TePb
_cell_length_a 12.434
_cell_length_b 12.434
_cell_length_c 6.566
_cell_angle_alpha 90.00
_cell_angle_beta 90.00
_cell_angle_gamma 90.00
_space_group_name_H-M_alt 'I -4 2 d'
_space_group_IT_number 122
_space_group_name_Hall 'I -4 2bw'
loop_
_atom_site_label
_atom_site_type_symbol
_atom_site_fract_x
_atom_site_fract_y
_atom_site_fract_z
Cs1 Cs 0.136 0.250 0.125
Te1 Te 0.000 0.000 0.000
Pb1 Pb 0.000 0.000 0.500
```

---

A plane-wave DFT calculation with PBE-GGA was carried out for an optimized crystal structure of CsTePb.

Energy above the lowest structure with this stoichiometry = 0.051 eV per atom
Uncorrected formation energy = -0.556 eV/atom

Cell and atoms, written as CIF:
```
data_CsTePb
_cell_length_a 10.731
_cell_length_b 8.201
_cell_length_c 7.639
_cell_angle_alpha 90.00
_cell_angle_beta 113.69
_cell_angle_gamma 90.00
_space_group_name_H-M_alt 'C 1 2 1'
_space_group_IT_number 5
loop_
_space_group_symop_operation_xyz
'x,y,z'
'-x,y,-z'
'x+1/2,y+1/2,z'
'-x+1/2,y+1/2,-z'
loop_
_atom_site_label
_atom_site_type_symbol
_atom_site_fract_x
_atom_site_fract_y
_atom_site_fract_z
Cs1 Cs 0.141 0.000 0.304
Te1 Te 0.235 0.105 0.834
Pb1 Pb 0.062 0.412 0.845
```

---

Please write out number 10 again, unchanged.
A plane-wave DFT calculation with PBE-GGA was carried out for an optimized crystal structure of Cs2TePb.

Energy above the lowest structure with this stoichiometry = 0.000 eV per atom
Uncorrected formation energy = -0.307 eV/atom

Cell and atoms, written as CIF:
```
data_Cs2TePb
_cell_length_a 12.434
_cell_length_b 12.434
_cell_length_c 6.566
_cell_angle_alpha 90.00
_cell_angle_beta 90.00
_cell_angle_gamma 90.00
_space_group_name_H-M_alt 'I -4 2 d'
_space_group_IT_number 122
_space_group_name_Hall 'I -4 2bw'
loop_
_atom_site_label
_atom_site_type_symbol
_atom_site_fract_x
_atom_site_fract_y
_atom_site_fract_z
Cs1 Cs 0.136 0.250 0.125
Te1 Te 0.000 0.000 0.000
Pb1 Pb 0.000 0.000 0.500
```